Entry 1:
SrCeIO6 | PBE | optimized geometry

abc: 5.7893 5.7893 10.2722
angles: 90.00 90.00 120.00
Last column: magnetic moment on the atom in μB.
Sites, in units of the cell vectors:
O 0.0379 0.6505 0.8569  0.05
O 0.3495 0.9621 0.6431  0.05
Ce 0.3333 0.6667 0.2500  0.19
O 0.3495 0.3873 0.8569  0.05
O 0.6505 0.6127 0.1431  0.05
O 0.6127 0.6505 0.6431  0.05
I 0.6667 0.3333 0.2500  0.08
Ce 0.6667 0.3333 0.7500  0.19
O 0.6127 0.9621 0.8569  0.05
I 0.3333 0.6667 0.7500  0.08
Sr 0.0000 0.0000 0.0000  0.01
O 0.3873 0.0379 0.1431  0.05
O 0.9621 0.3495 0.1431  0.05
O 0.6505 0.0379 0.3569  0.05
O 0.3873 0.3495 0.3569  0.05
O 0.0379 0.3873 0.6431  0.05
O 0.9621 0.6127 0.3569  0.05
Sr 0.0000 0.0000 0.5000  0.01

Summary:
Total magnetization in Bohr magnetons per cell: 1.372
Raw formation energy in meV per atom: -1893


Entry 2:
Rb2Zn2Si | PBE | optimized geometry

abc: 7.0792 7.0792 6.1254
angles: 54.70 54.70 90.00
Sites, in units of the cell vectors:
Si 0.0000 0.0000 0.0000
Rb 0.7500 0.2500 0.5000
Zn 0.6730 0.6730 0.6540
Zn 0.3270 0.3270 0.3460
Rb 0.2500 0.7500 0.5000

Summary:
Total magnetization in Bohr magnetons per cell: 0.000
Polymorph energy (0 for the lowest one) in meV per atom: 0
Raw formation energy in meV per atom: 222


Entry 3:
ErGa2CuPd | PBE | optimized geometry

abc: 4.1439 4.1439 5.9842
angles: 110.26 110.26 90.00
Sites, in units of the cell vectors:
Er 0.0000 0.0000 0.0000
Pd 0.7500 0.2500 0.5000
Ga 0.6191 0.6191 0.2383
Cu 0.2500 0.7500 0.5000
Ga 0.3809 0.3809 0.7617

Summary:
Total magnetization in Bohr magnetons per cell: 0.000
Formation energy in eV/atom: -0.563